# 1
The following is a PBE calculation of a relaxed structure of TcNi5Rh2, from Alexandria via LeMat-Bulk.

```
16
Lattice="-1.314 2.061 -1.086 -1.569 -3.716 -5.154 -9.481 -3.280 5.252" Properties=species:S:1:pos:R:3 pbc="T T T"
Tc -4.801 -1.783 2.427
Tc -2.166 -2.542 -5.498
Ni -3.787 -0.440 0.455
Ni -0.982 -2.324 -3.224
Ni -3.181 -3.886 -3.525
Ni -5.986 -2.001 0.153
Ni -9.056 -5.918 -0.271
Ni -7.393 -1.687 2.452
Ni -3.193 -1.660 -2.580
Ni -9.397 -3.806 0.856
Ni -3.775 -2.666 -0.490
Ni -7.052 -3.799 1.325
Rh -5.446 -3.005 -2.406
Rh -1.522 -1.321 -0.665
Rh -7.703 -3.786 -1.155
Rh -8.745 -3.820 3.337
```

E_form	97	meV per atom


# 2
The following is a PBE calculation of a relaxed structure of RbPaTe2O6, from Alexandria via LeMat-Bulk.

```
20
Lattice="-6.043 -1.637 1.137 0.859 -4.107 7.125 -1.414 4.188 6.988" Properties=species:S:1:pos:R:3 pbc="T T T"
Rb -0.904 -3.595 7.394
Rb -5.693 2.039 7.856
Pa -1.996 0.391 7.328
Pa -4.601 -1.947 7.922
Te -1.747 -1.747 11.106
Te -1.090 -1.690 3.620
Te -4.851 0.191 4.144
Te -5.508 0.135 11.630
O -2.017 1.989 5.841
O -2.806 1.821 8.766
O -4.581 -3.545 9.410
O -3.792 -3.377 6.484
O -2.584 -1.335 8.555
O -0.600 -0.831 6.150
O -4.013 -0.220 6.695
O -5.997 -0.724 9.100
O -5.594 -1.673 12.148
O -3.851 -1.335 3.681
O -1.004 0.117 3.102
O -2.746 -0.220 11.569
```

ΔE_f (raw)	-1.934	eV per atom